Compound: ScPHO2
Source: the Alexandria database
Functional: PBE
Structure: relaxed

Structure (CIF):
```
data_ScPHO2
_chemical_formula_sum 'Sc1 P1 H1 O2'
_space_group_name_H-M_alt 'P 1'
_space_group_IT_number 1
_space_group_name_Hall 'P 1'
_cell_length_a 4.005
_cell_length_b 4.005
_cell_length_c 3.005
_cell_angle_alpha 90.00
_cell_angle_beta 90.00
_cell_angle_gamma 90.00
loop_
_atom_site_label
_atom_site_type_symbol
_atom_site_fract_x
_atom_site_fract_y
_atom_site_fract_z
Sc1 Sc 0.000 0.000 0.000
P1 P 0.500 0.500 0.000
H1 H 0.500 0.500 0.500
O1 O 0.000 0.500 0.500
O2 O 0.500 0.000 0.500
```

Excess energy over the best structure of this formula in the dataset = 0.000 eV/atom
Volume = 9.6 A^3/atom